The following is a DFT calculation (PBE) of a relaxed structure of Cs4Cd3InCl12.

Structure (POSCAR):
```
Cs4Cd3InCl12
1.0
-5.3615 5.3615 5.3615
5.3615 -5.3615 5.3615
5.3615 5.3615 -5.3615
Cs Cd In Cl
4 3 1 12
Direct
0.0000 0.0000 0.5000 Cs
0.0000 0.5000 0.0000 Cs
0.5000 0.0000 0.0000 Cs
0.5000 0.5000 0.5000 Cs
0.0000 0.5000 0.5000 Cd
0.5000 0.0000 0.5000 Cd
0.5000 0.5000 0.0000 Cd
0.0000 0.0000 0.0000 In
0.0000 0.2493 0.2493 Cl
0.0000 0.7507 0.7507 Cl
0.2493 0.0000 0.2493 Cl
0.2493 0.2493 0.0000 Cl
0.2500 0.5000 0.7500 Cl
0.2500 0.7500 0.5000 Cl
0.5000 0.2500 0.7500 Cl
0.5000 0.7500 0.2500 Cl
0.7500 0.2500 0.5000 Cl
0.7500 0.5000 0.2500 Cl
0.7507 0.0000 0.7507 Cl
0.7507 0.7507 0.0000 Cl
```

Computed properties:
Its space-group type is No. 229. As for the formation energy from raw total energies: -1456.5 meV/atom.



The following is a DFT calculation (PBE) of a relaxed structure of BCl.

Structure (POSCAR):
```
BCl
1.0
10.8278 0.0000 0.0000
0.0000 10.8278 0.0000
0.0000 0.0000 7.6717
B Cl
8 8
Direct
0.0750 0.3196 0.0000 B
0.2200 0.7072 0.5000 B
0.2928 0.2200 0.5000 B
0.3196 0.9250 0.0000 B
0.6804 0.0750 0.0000 B
0.7072 0.7800 0.5000 B
0.7800 0.2928 0.5000 B
0.9250 0.6804 0.0000 B
0.0828 0.6878 0.0000 Cl
0.2029 0.3501 0.5000 Cl
0.3122 0.0828 0.0000 Cl
0.3501 0.7971 0.5000 Cl
0.6499 0.2029 0.5000 Cl
0.6878 0.9172 0.0000 Cl
0.7971 0.6499 0.5000 Cl
0.9172 0.3122 0.0000 Cl
```

Computed properties:
Its space-group type is No. 83. As for the formation energy from raw total energies: 1077.5 meV/atom.



The following is a DFT calculation (PBE) of a relaxed structure of Th3Te6Pd.

Structure (POSCAR):
```
Th3Te6Pd
1.0
6.1975 -7.4266 0.0000
6.1975 7.4266 0.0000
0.0000 0.0000 7.2928
Th Te Pd
6 12 2
Direct
0.1149 0.8851 0.5000 Th
0.2272 0.4326 0.3915 Th
0.4326 0.2272 0.8915 Th
0.5674 0.7728 0.3915 Th
0.7728 0.5674 0.8915 Th
0.8851 0.1149 0.0000 Th
0.0369 0.5778 0.6429 Te
0.1291 0.1963 0.6954 Te
0.1963 0.1291 0.1954 Te
0.2735 0.7265 0.1840 Te
0.4222 0.9631 0.6429 Te
0.4647 0.5353 0.6964 Te
0.5353 0.4647 0.1964 Te
0.5778 0.0369 0.1429 Te
0.7265 0.2735 0.6840 Te
0.8037 0.8709 0.6954 Te
0.8709 0.8037 0.1954 Te
0.9631 0.4222 0.1429 Te
0.2838 0.7162 0.7622 Pd
0.7162 0.2838 0.2622 Pd
```

Computed properties:
Its space-group type is No. 36. As for the formation energy from raw total energies: -1071.3 meV/atom.



The following is a DFT calculation (PBE) of a relaxed structure of Na2H4Pd3.

Structure (POSCAR):
```
Na2H4Pd3
1.0
0.0000 4.6302 4.7549
2.7577 0.0000 4.7549
2.7577 4.6302 0.0000
Na H Pd
2 4 3
Direct
0.1685 0.1685 0.8315 Na
0.8315 0.8315 0.1685 Na
0.2249 0.5564 0.4436 H
0.4436 0.7751 0.2249 H
0.5564 0.2249 0.7751 H
0.7751 0.4436 0.5564 H
0.0000 0.0000 0.5000 Pd
0.5000 0.5000 0.0000 Pd
0.5000 0.5000 0.5000 Pd
```

Computed properties:
Its space-group type is No. 69. The calculation puts the total energy at -3.671 eV/atom.



The following is a DFT calculation (PBE) of a relaxed structure of TePW3.

Structure (POSCAR):
```
TePW3
1.0
4.5508 0.0000 0.0000
0.0000 4.5508 0.0000
0.0000 0.0000 4.5508
Te P W
1 1 3
Direct
0.0000 0.0000 0.0000 Te
0.5000 0.5000 0.5000 P
0.0000 0.5000 0.5000 W
0.5000 0.0000 0.5000 W
0.5000 0.5000 0.0000 W
```

Computed properties:
Its space-group type is No. 221. As for the formation energy from raw total energies: 1081.4 meV/atom.



The following is a DFT calculation (PBE) of a relaxed structure of MnCuTc2Ni.

Structure (POSCAR):
```
MnCuTc2Ni
1.0
4.4041 0.0000 0.0000
0.0000 4.4041 0.0000
0.0000 0.0000 4.1725
Mn Cu Tc Ni
1 1 2 1
Direct
0.0000 0.0000 0.0000 Mn
0.0000 0.0000 0.5000 Cu
0.0000 0.5000 0.5000 Tc
0.5000 0.0000 0.5000 Tc
0.5000 0.5000 0.0000 Ni
```

Computed properties:
The value obtained for the formation enthalpy at 0 K is 1.86 eV per atom. Its space-group type is No. 123.



The following is a DFT calculation (PBE) of a relaxed structure of Pr4GeSb2Se.

Structure (POSCAR):
```
Pr4GeSb2Se
1.0
7.6730 0.0000 0.0000
0.0000 4.4246 0.0000
-2.5441 0.0000 7.2705
Pr Ge Sb Se
4 1 2 1
Direct
0.2427 0.0000 0.2367 Pr
0.2478 0.5000 0.7615 Pr
0.7522 0.5000 0.2385 Pr
0.7573 0.0000 0.7633 Pr
0.0000 0.5000 0.0000 Ge
0.0000 0.0000 0.5000 Sb
0.5000 0.5000 0.5000 Sb
0.5000 0.0000 0.0000 Se
```

Computed properties:
Its space-group type is No. 10. As for the formation energy from raw total energies: -1282.1 meV/atom.



The following is a DFT calculation (PBE) of a relaxed structure of PmPuIO4.

Structure (POSCAR):
```
PmPuIO4
1.0
7.9516 -3.1150 0.0000
7.9516 3.1150 0.0000
-1.5274 0.0000 6.3761
Pm Pu I O
2 2 2 8
Direct
0.2175 0.2175 0.3448 Pm
0.7825 0.7825 0.6552 Pm
0.1004 0.1004 0.6961 Pu
0.8996 0.8996 0.3039 Pu
0.4869 0.4869 0.2365 I
0.5131 0.5131 0.7635 I
0.0253 0.5885 0.3666 O
0.0610 0.0610 0.3944 O
0.1415 0.1415 0.9912 O
0.4115 0.9747 0.6334 O
0.5885 0.0253 0.3666 O
0.8585 0.8585 0.0088 O
0.9390 0.9390 0.6056 O
0.9747 0.4115 0.6334 O
```

Computed properties:
Its space-group type is No. 12. As for the formation energy from raw total energies: -2465.7 meV/atom.



The following is a DFT calculation (PBE) of a relaxed structure of SiPOs2.

Structure (POSCAR):
```
SiPOs2
1.0
3.5149 0.0000 0.0000
0.0000 3.5149 0.0000
0.0000 0.0000 8.8605
Si P Os
2 2 4
Direct
0.0000 0.0000 0.0000 Si
0.5000 0.5000 0.5000 Si
0.0000 0.5000 0.2500 P
0.5000 0.0000 0.7500 P
0.0000 0.0000 0.5000 Os
0.0000 0.5000 0.7500 Os
0.5000 0.0000 0.2500 Os
0.5000 0.5000 0.0000 Os
```

Computed properties:
Its space-group type is No. 119. As for the formation energy from raw total energies: 344.0 meV/atom.



The following is a DFT calculation (PBE) of a relaxed structure of Tl2CrCl.

Structure (POSCAR):
```
Tl2CrCl
1.0
4.4473 0.0000 0.0000
0.0000 4.4473 0.0000
0.0000 0.0000 22.2431
Tl Cr Cl
8 4 4
Direct
0.2470 0.2500 0.1250 Tl
0.2500 0.7470 0.3750 Tl
0.2500 0.7530 0.8750 Tl
0.2530 0.2500 0.6250 Tl
0.7470 0.7500 0.6250 Tl
0.7500 0.2470 0.8750 Tl
0.7500 0.2530 0.3750 Tl
0.7530 0.7500 0.1250 Tl
0.0000 0.0000 0.5000 Cr
0.0000 0.5000 0.7500 Cr
0.5000 0.0000 0.2500 Cr
0.5000 0.5000 0.0000 Cr
0.0000 0.0000 0.0000 Cl
0.0000 0.5000 0.2500 Cl
0.5000 0.0000 0.7500 Cl
0.5000 0.5000 0.5000 Cl
```

Computed properties:
Its space-group type is No. 122. As for the formation energy from raw total energies: 244.4 meV/atom.



The following is a DFT calculation (PBE) of a relaxed structure of KMoI2.

Structure (POSCAR):
```
KMoI2
1.0
8.7727 0.0000 0.0000
0.0000 8.7727 0.0000
0.0000 0.0000 7.5917
K Mo I
4 4 8
Direct
0.0000 0.0000 0.0000 K
0.0000 0.5000 0.2500 K
0.5000 0.0000 0.7500 K
0.5000 0.5000 0.5000 K
0.0000 0.0000 0.5000 Mo
0.0000 0.5000 0.7500 Mo
0.5000 0.0000 0.2500 Mo
0.5000 0.5000 0.0000 Mo
0.1367 0.7500 0.6250 I
0.2500 0.1367 0.3750 I
0.2500 0.3633 0.8750 I
0.3633 0.7500 0.1250 I
0.6367 0.2500 0.1250 I
0.7500 0.6367 0.8750 I
0.7500 0.8633 0.3750 I
0.8633 0.2500 0.6250 I
```

Computed properties:
Its space-group type is No. 122. As for the formation energy from raw total energies: 167.4 meV/atom.



The following is a DFT calculation (PBE) of a relaxed structure of BaLiSb2I.

Structure (POSCAR):
```
BaLiSb2I
1.0
5.0616 0.0000 0.0000
0.0000 5.0616 0.0000
0.0000 0.0000 6.5153
Ba Li Sb I
1 1 2 1
Direct
0.0000 0.0000 0.0000 Ba
0.5000 0.5000 0.5000 Li
0.0000 0.5000 0.5000 Sb
0.5000 0.0000 0.5000 Sb
0.5000 0.5000 0.0000 I
```

Computed properties:
Its space-group type is No. 123. As for the formation energy from raw total energies: -520.9 meV/atom.



The following is a DFT calculation (PBE) of a relaxed structure of MgNiHg.

Structure (POSCAR):
```
MgNiHg
1.0
6.1409 0.0000 0.0000
0.0000 6.1409 0.0000
0.0000 0.0000 6.1409
Mg Ni Hg
4 4 4
Direct
0.0000 0.0000 0.0000 Mg
0.0000 0.5000 0.5000 Mg
0.5000 0.0000 0.5000 Mg
0.5000 0.5000 0.0000 Mg
0.2500 0.2500 0.7500 Ni
0.2500 0.7500 0.2500 Ni
0.7500 0.2500 0.2500 Ni
0.7500 0.7500 0.7500 Ni
0.0000 0.0000 0.5000 Hg
0.0000 0.5000 0.0000 Hg
0.5000 0.0000 0.0000 Hg
0.5000 0.5000 0.5000 Hg
```

Computed properties:
The value obtained for the formation enthalpy at 0 K is 0.02 eV per atom. Its space-group type is No. 216.



The following is a DFT calculation (PBE) of a relaxed structure of CaLa4Pr7.

Structure (POSCAR):
```
CaLa4Pr7
1.0
6.2198 -3.1428 0.0000
6.2198 3.1428 0.0000
-6.1077 0.0000 11.6520
Ca La Pr
1 4 7
Direct
0.0000 0.0000 0.0000 Ca
0.1382 0.1382 0.7778 La
0.4374 0.4374 0.6730 La
0.5626 0.5626 0.3270 La
0.8618 0.8618 0.2222 La
0.1332 0.1332 0.5007 Pr
0.2600 0.2600 0.3211 Pr
0.2953 0.2953 0.0783 Pr
0.5000 0.5000 0.0000 Pr
0.7047 0.7047 0.9217 Pr
0.7400 0.7400 0.6789 Pr
0.8668 0.8668 0.4993 Pr
```

Computed properties:
The value obtained for the formation enthalpy at 0 K is 0.23 eV per atom. Its space-group type is No. 12.



The following is a DFT calculation (PBE) of a relaxed structure of Th6TcHg2.

Structure (POSCAR):
```
Th6TcHg2
1.0
6.2344 0.0000 0.0000
0.0000 8.4112 0.0000
-5.7052 0.0000 10.0879
Th Tc Hg
12 2 4
Direct
0.0644 0.1681 0.4607 Th
0.0644 0.3319 0.9607 Th
0.3565 0.6923 0.4558 Th
0.3565 0.8077 0.9558 Th
0.3868 0.0324 0.2567 Th
0.3868 0.4676 0.7567 Th
0.6132 0.5324 0.2433 Th
0.6132 0.9676 0.7433 Th
0.6435 0.1923 0.0442 Th
0.6435 0.3077 0.5442 Th
0.9356 0.6681 0.0393 Th
0.9356 0.8319 0.5393 Th
0.0000 0.0000 0.0000 Tc
0.0000 0.5000 0.5000 Tc
0.1380 0.1120 0.7618 Hg
0.1380 0.3880 0.2618 Hg
0.8620 0.6120 0.7382 Hg
0.8620 0.8880 0.2382 Hg
```

Computed properties:
The value obtained for the formation enthalpy at 0 K is -0.07 eV per atom. Its space-group type is No. 14.



The following is a DFT calculation (PBE) of a relaxed structure of B2C.

Structure (POSCAR):
```
B2C
1.0
4.6604 -1.2175 0.0000
4.6604 1.2175 0.0000
-4.3860 0.0000 7.2999
B C
8 4
Direct
0.0708 0.0708 0.1076 B
0.1638 0.1638 0.9290 B
0.2880 0.2880 0.7401 B
0.3244 0.3244 0.5492 B
0.6756 0.6756 0.4508 B
0.7120 0.7120 0.2599 B
0.8362 0.8362 0.0710 B
0.9292 0.9292 0.8924 B
0.1055 0.1055 0.7095 C
0.4911 0.4911 0.3998 C
0.5089 0.5089 0.6002 C
0.8945 0.8945 0.2905 C
```

Computed properties:
The value obtained for the formation enthalpy at 0 K is 0.47 eV per atom. Its space-group type is No. 12.



The following is a DFT calculation (PBE) of a relaxed structure of RbBeB2.

Structure (POSCAR):
```
RbBeB2
1.0
3.1247 0.0000 0.0000
0.0000 5.2371 0.0000
-0.2052 0.0000 9.9241
Rb Be B
2 2 4
Direct
0.2314 0.2500 0.2191 Rb
0.7686 0.7500 0.7809 Rb
0.2548 0.2500 0.5692 Be
0.7452 0.7500 0.4308 Be
0.2503 0.5839 0.5056 B
0.2503 0.9161 0.5056 B
0.7497 0.0839 0.4944 B
0.7497 0.4161 0.4944 B
```

Computed properties:
The value obtained for the formation enthalpy at 0 K is 0.09 eV per atom. Its space-group type is No. 11.



The following is a DFT calculation (PBE) of a relaxed structure of NdEu2Tm.

Structure (POSCAR):
```
NdEu2Tm
1.0
3.6839 0.0000 0.0000
-1.8419 3.1903 0.0000
0.0000 0.0000 36.6330
Nd Eu Tm
3 6 3
Direct
0.0000 0.0000 0.0000 Nd
0.3333 0.6667 0.6667 Nd
0.6667 0.3333 0.3333 Nd
0.0000 0.0000 0.2480 Eu
0.0000 0.0000 0.7520 Eu
0.3333 0.6667 0.4186 Eu
0.3333 0.6667 0.9147 Eu
0.6667 0.3333 0.0853 Eu
0.6667 0.3333 0.5814 Eu
0.0000 0.0000 0.5000 Tm
0.3333 0.6667 0.1667 Tm
0.6667 0.3333 0.8333 Tm
```

Computed properties:
The value obtained for the formation enthalpy at 0 K is 0.10 eV per atom. Its space-group type is No. 166.



The following is a DFT calculation (PBE) of a relaxed structure of HgSeCl.

Structure (POSCAR):
```
HgSeCl
1.0
4.0613 0.0000 0.0000
0.0000 4.0613 0.0000
0.0000 0.0000 11.2945
Hg Se Cl
2 2 2
Direct
0.0000 0.0000 0.0000 Hg
0.5000 0.5000 0.5000 Hg
0.0000 0.0000 0.5415 Se
0.5000 0.5000 0.0415 Se
0.0000 0.0000 0.7518 Cl
0.5000 0.5000 0.2518 Cl
```

Computed properties:
Its space-group type is No. 107. As for the formation energy from raw total energies: -7.5 meV/atom.



The following is a DFT calculation (PBE) of a relaxed structure of Cu2Ag2F7.

Structure (POSCAR):
```
Cu2Ag2F7
1.0
3.1306 -5.3995 0.0000
3.1306 5.3995 0.0000
-1.3350 0.0000 5.2046
Cu Ag F
2 2 7
Direct
0.2346 0.2346 0.3411 Cu
0.7654 0.7654 0.6589 Cu
0.3139 0.6861 0.0000 Ag
0.6861 0.3139 0.0000 Ag
0.0000 0.0000 0.5000 F
0.0370 0.3733 0.2586 F
0.3733 0.0370 0.2586 F
0.4881 0.4881 0.7473 F
0.5119 0.5119 0.2527 F
0.6267 0.9630 0.7414 F
0.9630 0.6267 0.7414 F
```

Computed properties:
Its space-group type is No. 12. As for the formation energy from raw total energies: -1273.2 meV/atom.